(1)
The following is a PBE-GGA calculation of BaLiSi after structural relaxation, from the Alexandria database.

a = 8.142 Å, b = 4.963 Å, c = 8.018 Å
α = 90.00°, β = 90.00°, γ = 90.00°
Element x y z (fractional)
Si1 0.692 0.250 0.590
Ba1 0.505 0.250 0.198
Li1 0.658 0.750 0.419
Ba2 0.495 0.750 0.802
Li2 0.342 0.250 0.581
Si2 0.308 0.750 0.410
Si3 0.192 0.250 0.910
Si4 0.808 0.750 0.090
Li3 0.842 0.250 0.919
Li4 0.158 0.750 0.081
Ba3 0.005 0.250 0.302
Ba4 0.995 0.750 0.698

Calculated values
Total magnetization   0.00 μB per cell
Space group   No. 62
Formation energy (no corrections)   -0.198 eV/atom

***

(2)
The following is a PBE-GGA calculation of BaLiSi2 after structural relaxation, from the Alexandria database.

a = 3.651 Å, b = 3.651 Å, c = 6.938 Å
α = 90.00°, β = 90.00°, γ = 89.99°
Element x y z (fractional)
Li1 0.500 0.500 0.750
Si1 0.000 0.000 0.919
Si2 0.000 0.000 0.581
Ba1 0.500 0.500 0.250

Calculated values
Total magnetization   0.00 μB per cell
Space group   No. 123
Formation energy (no corrections)   -0.077 eV/atom

***

(3)
The following is a PBE-GGA calculation of BaLiSi after structural relaxation, from the Alexandria database.

a = 12.039 Å, b = 12.039 Å, c = 8.861 Å
α = 47.21°, β = 47.21°, γ = 90.00°
Element x y z (fractional)
Ba1 0.837 0.163 0.000
Li1 0.190 0.500 0.000
Ba2 0.163 0.163 0.000
Li2 0.500 0.190 0.000
Li3 0.500 0.810 0.000
Ba3 0.163 0.837 0.000
Si1 0.601 0.000 0.000
Ba4 0.837 0.837 0.000
Si2 0.399 0.000 0.000
Li4 0.810 0.500 0.000
Si3 0.000 0.399 0.000
Si4 0.000 0.601 0.000

Calculated values
Total magnetization   0.00 μB per cell
Space group   No. 139
Formation energy (no corrections)   0.027 eV/atom

***

(4)
The following is a PBE-GGA calculation of BaLiSi2 after structural relaxation, from the Alexandria database.

a = 5.744 Å, b = 6.662 Å, c = 6.702 Å
α = 119.18°, β = 92.41°, γ = 106.49°
Element x y z (fractional)
Si1 0.741 0.262 0.653
Si2 0.621 0.879 0.634
Si3 0.259 0.738 0.347
Li1 0.228 0.500 0.571
Ba1 0.208 0.178 0.877
Si4 0.379 0.121 0.366
Li2 0.772 0.500 0.429
Ba2 0.792 0.822 0.123

Calculated values
Total magnetization   0.00 μB per cell
Space group   No. 2
Formation energy (no corrections)   -0.259 eV/atom

***

(5)
The following is a PBE-GGA calculation of BaLi2Si after structural relaxation, from the Alexandria database.

a = 4.556 Å, b = 4.556 Å, c = 6.084 Å
α = 68.33°, β = 90.00°, γ = 90.00°
Element x y z (fractional)
Ba1 0.500 0.731 0.667
Si1 0.000 0.361 0.404
Li1 0.500 0.436 0.249
Li2 0.000 0.972 0.180

Calculated values
Total magnetization   0.00 μB per cell
Space group   No. 6
Formation energy (no corrections)   -0.113 eV/atom

***

(6)
The following is a PBE-GGA calculation of BaLiSi after structural relaxation, from the Alexandria database.

a = 4.449 Å, b = 4.449 Å, c = 11.064 Å
α = 79.40°, β = 79.40°, γ = 60.12°
Element x y z (fractional)
Ba1 0.259 0.259 0.695
Li1 0.842 0.842 0.969
Si1 0.532 0.532 0.893
Ba2 0.741 0.741 0.305
Li2 0.158 0.158 0.031
Si2 0.468 0.468 0.107

Calculated values
Total magnetization   0.00 μB per cell
Space group   No. 12
Formation energy (no corrections)   -0.278 eV/atom

***

Copy entry 6 word for word.
The following is a PBE-GGA calculation of BaLiSi after structural relaxation, from the Alexandria database.

a = 4.449 Å, b = 4.449 Å, c = 11.064 Å
α = 79.40°, β = 79.40°, γ = 60.12°
Element x y z (fractional)
Ba1 0.259 0.259 0.695
Li1 0.842 0.842 0.969
Si1 0.532 0.532 0.893
Ba2 0.741 0.741 0.305
Li2 0.158 0.158 0.031
Si2 0.468 0.468 0.107

Calculated values
Total magnetization   0.00 μB per cell
Space group   No. 12
Formation energy (no corrections)   -0.278 eV/atom